1.
{
  "formula": "AgSnGe",
  "functional": "PBE-GGA",
  "state": "relaxed",
  "formation_enthalpy_0k_mev_per_atom": 175,
  "sg": "F-43m (216)",
  "energy_ev_per_atom": -3.649,
  "magnetic_moment_mub_per_atom": 0.00,
  "relative_energy_ev_per_fu": 0.04,
  "lattice": [[0.000, 3.281, 3.281], [3.281, 0.000, 3.281], [3.281, 3.281, 0.000]],
  "species": ["Ag", "Sn", "Ge"],
  "fractional_positions": [[0.000, 0.000, 0.000], [0.750, 0.750, 0.750], [0.250, 0.250, 0.250]]
}



2.
{
  "formula": "Ta2AlCd",
  "functional": "PBE-GGA",
  "state": "relaxed",
  "formation_enthalpy_0k_mev_per_atom": 80,
  "sg": "P4mm (99)",
  "energy_ev_per_atom": -7.011,
  "magnetic_moment_mub_per_atom": 0.00,
  "relative_energy_ev_per_fu": 0.23,
  "lattice": [[2.871, 0.000, 0.000], [0.000, 2.871, 0.000], [0.000, 0.000, 8.943]],
  "species": ["Ta", "Ta", "Al", "Cd"],
  "fractional_positions": [[0.000, 0.000, 0.000], [0.500, 0.500, 0.255], [0.000, 0.000, 0.479], [0.500, 0.500, 0.736]]
}



3.
{
  "formula": "BaSr3Ir",
  "functional": "PBE-GGA",
  "state": "relaxed",
  "formation_enthalpy_0k_mev_per_atom": -156,
  "sg": "P1 (1)",
  "energy_ev_per_atom": -3.322,
  "magnetic_moment_mub_per_atom": 0.00,
  "relative_energy_ev_per_fu": 0.04,
  "lattice": [[8.207, 0.000, 0.000], [-2.470, 7.853, 0.000], [-2.469, -4.182, 6.648]],
  "species": ["Ba", "Ba", "Sr", "Sr", "Sr", "Sr", "Sr", "Sr", "Ir", "Ir"],
  "fractional_positions": [[0.000, 0.000, 0.000], [0.399, 0.840, 0.839], [0.000, 0.831, 0.433], [0.395, 0.406, 0.006], [0.496, 0.446, 0.550], [0.503, 0.886, 0.389], [0.893, 0.448, 0.953], [0.902, 0.288, 0.394], [0.198, 0.519, 0.319], [0.699, 0.768, 0.071]]
}



4.
{
  "formula": "K2ZrBr",
  "functional": "PBE-GGA",
  "state": "relaxed",
  "sg": "I-42d (122)",
  "energy_ev_per_atom": -2.881,
  "magnetic_moment_mub_per_atom": 0.76,
  "relative_energy_ev_per_fu": 1.42,
  "lattice": [[-5.899, 5.899, 2.680], [5.899, -5.899, 2.680], [5.899, 5.899, -2.680]],
  "species": ["K", "K", "K", "K", "Zr", "Zr", "Br", "Br"],
  "fractional_positions": [[0.375, 0.004, 0.129], [0.754, 0.625, 0.629], [0.875, 0.246, 0.871], [0.996, 0.125, 0.371], [0.250, 0.750, 0.500], [0.500, 0.500, 0.000], [0.000, 0.000, 0.000], [0.750, 0.250, 0.500]]
}